Entry 1:
Entry from Alexandria: crystalline AlFe2Au at its relaxed geometry (PBE-GGA).

Output
crystal system: tetragonal

abc: 3.652 3.652 18.456
angles: 90.00 90.00 90.00
Space group I-42d (No. 122)
Inequivalent atoms, fractional coordinates:
Al 0.000 0.000 0.000 (multiplicity 4)
Fe 0.232 0.250 0.125 (multiplicity 8)
Au 0.000 0.000 0.500 (multiplicity 4)

***

Entry 2:
Entry from Alexandria: crystalline AlFeAu2 at its relaxed geometry (PBE-GGA).

Output
crystal system: orthorhombic

abc: 2.943 4.643 9.257
angles: 90.00 90.00 90.00
Space group Imm2 (No. 44)
Inequivalent atoms, fractional coordinates:
Al 0.000 0.000 0.000 (multiplicity 2)
Fe 0.000 0.500 0.271 (multiplicity 2)
Au 0.000 0.000 0.517 (multiplicity 2)
Au 0.000 0.500 0.739 (multiplicity 2)

***

no.,total magnetic moment (μB per atom),calculated total energy (eV/atom)
1,1.24,-5.76
2,0.68,-4.77